[1]
Compound: Nd2Ho4Al
Source: Alexandria via LeMat-Bulk
Functional: GGA-PBE
Structure: optimized geometry

Unit cell a=3.6064 b=3.6064 c=19.2867 alpha=84.64 beta=84.64 gamma=60.00
Sites, in units of the cell vectors:
Ho 0.7054 0.7054 0.8837
Ho 0.2946 0.2946 0.1163
Ho 0.9111 0.9111 0.2666
Ho 0.0889 0.0889 0.7334
Nd 0.8060 0.8060 0.5821
Nd 0.1940 0.1940 0.4179
Al 0.0000 0.0000 0.0000

Computed properties:
M_tot in μB per formula unit: 0.2
Calculated formation energy in eV per formula unit: -0.2
Energy in eV for the cell shown: -31.786
Crystal system: trigonal


[2]
Compound: Nd2Ho3Al3
Source: Alexandria via LeMat-Bulk
Functional: GGA-PBE
Structure: optimized geometry

Unit cell a=4.8245 b=4.8415 c=8.9320 alpha=90.00 beta=90.00 gamma=90.00
Sites, in units of the cell vectors:
Al 0.5000 0.0000 0.5000
Al 0.0000 0.5000 0.5000
Al 0.0000 0.5000 0.0000
Ho 0.5000 0.5000 0.7215
Ho 0.5000 0.0000 0.0000
Ho 0.5000 0.5000 0.2785
Nd 0.0000 0.0000 0.7355
Nd 0.0000 0.0000 0.2645

Computed properties:
Energy above the lowest structure with this stoichiometry in meV/atom: 15
M_tot in μB per formula unit: 0.0
Calculated formation energy in eV per formula unit: -2.0
Energy in eV for the cell shown: -36.528
Crystal system: orthorhombic


[3]
Compound: NdHo4Al5
Source: Alexandria via LeMat-Bulk
Functional: GGA-PBE
Structure: optimized geometry

Unit cell a=3.6065 b=3.6065 c=18.1007 alpha=90.00 beta=90.00 gamma=90.00
Sites, in units of the cell vectors:
Al 0.5000 0.5000 0.6960
Al 0.5000 0.5000 0.1095
Al 0.5000 0.5000 0.3040
Al 0.5000 0.5000 0.5000
Al 0.5000 0.5000 0.8905
Ho 0.0000 0.0000 0.4021
Ho 0.0000 0.0000 0.5979
Ho 0.0000 0.0000 0.7938
Ho 0.0000 0.0000 0.2062
Nd 0.0000 0.0000 0.0000

Computed properties:
M_tot in μB per formula unit: 0.0
Calculated formation energy in eV per formula unit: -3.9
Energy in eV for the cell shown: -45.660
Crystal system: tetragonal


[4]
Compound: NdHo2Al2
Source: Alexandria via LeMat-Bulk
Functional: GGA-PBE
Structure: optimized geometry

Unit cell a=4.5922 b=9.7887 c=8.4443 alpha=129.02 beta=105.79 gamma=90.02
Sites, in units of the cell vectors:
Ho 0.4297 0.0760 0.3590
Ho 0.9295 0.5760 0.3590
Ho 0.0705 0.4240 0.6410
Ho 0.5703 0.9240 0.6410
Nd 0.2500 0.2500 0.0000
Nd 0.7500 0.7500 0.0000
Al 0.8229 0.1325 0.1457
Al 0.3228 0.6325 0.1457
Al 0.1771 0.8675 0.8543
Al 0.6772 0.3675 0.8543

Computed properties:
Energy above the lowest structure with this stoichiometry in meV/atom: 141
M_tot in μB per formula unit: 0.0
Calculated formation energy in eV per formula unit: -0.8
Energy in eV for the cell shown: -44.320
Crystal system: monoclinic


[5]
Compound: Nd2Ho3Al3
Source: Alexandria via LeMat-Bulk
Functional: GGA-PBE
Structure: optimized geometry

Unit cell a=3.7117 b=5.1316 c=11.4239 alpha=102.98 beta=99.35 gamma=90.00
Sites, in units of the cell vectors:
Al 0.1121 0.1121 0.2241
Al 0.8879 0.8879 0.7759
Al 0.0000 0.5000 0.0000
Nd 0.2717 0.7717 0.5434
Nd 0.7283 0.2283 0.4566
Ho 0.5000 0.0000 0.0000
Ho 0.6162 0.6162 0.2325
Ho 0.3838 0.3838 0.7675

Computed properties:
Energy above the lowest structure with this stoichiometry in meV/atom: 0
M_tot in μB per formula unit: 0.0
Calculated formation energy in eV per formula unit: -2.2
Energy in eV for the cell shown: -36.647
Crystal system: orthorhombic


[6]
Compound: Nd6HoAl
Source: Alexandria via LeMat-Bulk
Functional: GGA-PBE
Structure: optimized geometry

Unit cell a=4.9869 b=4.9869 c=10.2333 alpha=90.00 beta=90.00 gamma=90.00
Sites, in units of the cell vectors:
Nd 0.5000 0.5000 0.0000
Nd 0.5000 0.0000 0.7388
Nd 0.5000 0.0000 0.2612
Nd 0.0000 0.5000 0.2612
Nd 0.5000 0.5000 0.5000
Nd 0.0000 0.5000 0.7388
Ho 0.0000 0.0000 0.0000
Al 0.0000 0.0000 0.5000

Computed properties:
M_tot in μB per formula unit: 0.0
Calculated formation energy in eV per formula unit: -0.5
Energy in eV for the cell shown: -37.423
Crystal system: tetragonal


[7]
Compound: Nd4Ho15Al
Source: Alexandria via LeMat-Bulk
Functional: GGA-PBE
Structure: optimized geometry

Unit cell a=4.9648 b=4.9648 c=25.0825 alpha=90.00 beta=90.00 gamma=90.00
Sites, in units of the cell vectors:
Ho 0.0000 0.5000 0.9078
Ho 0.0000 0.5000 0.7039
Ho 0.5000 0.0000 0.0922
Ho 0.5000 0.5000 0.6023
Ho 0.5000 0.5000 0.8077
Ho 0.5000 0.0000 0.2961
Ho 0.0000 0.5000 0.0922
Ho 0.5000 0.0000 0.7039
Ho 0.5000 0.5000 0.0000
Ho 0.5000 0.5000 0.3977
Ho 0.0000 0.5000 0.5000
Ho 0.5000 0.5000 0.1923
Ho 0.0000 0.5000 0.2961
Ho 0.5000 0.0000 0.5000
Ho 0.5000 0.0000 0.9078
Nd 0.0000 0.0000 0.3980
Nd 0.0000 0.0000 0.1955
Nd 0.0000 0.0000 0.6020
Nd 0.0000 0.0000 0.8045
Al 0.0000 0.0000 0.0000

Computed properties:
M_tot in μB per formula unit: 0.0
Calculated formation energy in eV per formula unit: -0.1
Energy in eV for the cell shown: -91.600
Crystal system: tetragonal


[8]
Compound: Nd3HoAl
Source: Alexandria via LeMat-Bulk
Functional: GGA-PBE
Structure: optimized geometry

Unit cell a=5.2327 b=9.5608 c=5.8058 alpha=145.42 beta=90.00 gamma=90.00
Sites, in units of the cell vectors:
Ho 0.5000 0.9097 0.8193
Al 0.0000 0.6903 0.3807
Nd 0.0000 0.3431 0.3162
Nd 0.5000 0.4384 0.8767
Nd 0.0000 0.9732 0.3162

Computed properties:
Energy above the lowest structure with this stoichiometry in meV/atom: 201
M_tot in μB per formula unit: 0.0
Calculated formation energy in eV per formula unit: 0.4
Energy in eV for the cell shown: -22.201
Crystal system: orthorhombic